## Er3Al2H (PBE)

Data for Er3Al2H after structural relaxation. Values from VASP.

Computed properties:
- Final energy: -4.391 eV/atom
- Space group: C2/c

Cell and atoms, written as Quantum ESPRESSO input:
```
&SYSTEM
  ibrav = 0, nat = 12, ntyp = 3
/
ATOMIC_SPECIES
Er 167.26 Er.upf
Al 26.98 Al.upf
H 1.01 H.upf
CELL_PARAMETERS angstrom
6.669 -3.035 0.000
6.669 3.035 0.000
-0.958 0.000 6.317
ATOMIC_POSITIONS angstrom
Er 5.951 2.551 4.738
Er 4.555 0.626 2.409
Er 4.076 -0.626 5.567
Er 8.305 0.626 0.750
Er 7.826 -0.626 3.909
Er 6.430 -2.551 1.579
Al 2.376 0.623 0.256
Al 1.898 -0.623 3.414
Al 10.483 0.623 2.903
Al 10.005 -0.623 6.061
H 5.951 0.373 4.738
H 6.430 -0.373 1.579
```